[1]
The following is a SCAN calculation of a PBEsol-optimized structure of Nb3CrP6O24, from Alexandria via LeMat-Bulk.

Values from the calculation:
E_form (uncorrected) = -2592 meV/atom
Size of the total moment = 3.00 μB per formula unit
Total energy = -417.8 eV per cell
N(E_F) = 0.00 states/eV per atom

extended XYZ file:
```
34
Lattice="8.663 0.000 0.000 4.331 7.502 0.000 4.331 2.501 7.430" Properties=species:S:1:pos:R:3 pbc="T T T"
Nb 4.331 2.501 4.270
Nb 8.663 5.002 6.887
Nb 8.663 5.002 0.604
Cr 12.994 7.502 3.216
P 11.774 5.453 5.524
P 6.716 7.470 5.524
P 7.499 2.082 5.524
P 9.979 7.895 1.887
P 10.511 2.415 1.887
P 5.499 4.695 1.887
O 4.964 3.974 0.626
O 5.291 1.216 0.626
O 12.445 4.065 5.328
O 2.739 2.312 0.626
O 10.271 5.175 5.782
O 11.889 6.345 4.321
O 7.583 8.746 5.328
O 7.709 6.307 5.782
O 8.009 3.522 5.782
O 9.216 8.500 3.089
O 11.464 7.855 2.064
O 11.416 2.773 3.089
O 5.886 7.124 4.321
O 5.961 2.194 5.328
O 8.213 1.536 4.321
O 9.362 6.479 1.675
O 9.593 3.657 1.675
O 9.733 1.149 2.064
O 5.356 3.731 3.089
O 7.034 4.869 1.675
O 14.572 7.690 6.818
O 4.791 6.001 2.064
O 12.044 8.775 6.818
O 12.368 6.043 6.818
```

---

[2]
The following is a SCAN calculation of a PBEsol-optimized structure of Nb2CrPO, from Alexandria via LeMat-Bulk.

Values from the calculation:
E_form (uncorrected) = -711 meV/atom
Size of the total moment = 1.92 μB per formula unit
Total energy = -104.8 eV per cell
N(E_F) = 0.41 states/eV per atom

extended XYZ file:
```
5
Lattice="3.742 0.000 0.000 0.000 4.197 0.000 0.000 0.000 4.197" Properties=species:S:1:pos:R:3 pbc="T T T"
Cr 1.871 0.000 0.000
Nb 0.000 0.000 2.099
Nb 0.000 2.099 0.000
O 0.000 0.000 0.000
P 1.871 2.099 2.099
```

---

[3]
The following is a SCAN calculation of a PBEsol-optimized structure of Ti3NbCr2P6O24, from Alexandria via LeMat-Bulk.

Values from the calculation:
E_form (uncorrected) = -2604 meV/atom
Size of the total moment = 11.00 μB per formula unit
Total energy = -423.7 eV per cell
N(E_F) = 0.50 states/eV per atom

extended XYZ file:
```
36
Lattice="-7.612 2.737 -3.023 -1.665 -0.360 -8.466 -5.730 -5.665 -3.036" Properties=species:S:1:pos:R:3 pbc="T T T"
Ti -4.591 -2.876 -3.379
Ti -8.641 -4.429 -6.920
Ti -6.366 1.141 -7.605
Nb -10.404 -0.383 -11.150
Cr -5.708 -5.613 -3.043
Cr -7.507 -1.652 -7.262
P -10.772 -2.386 -8.377
P -5.914 -4.418 -8.765
P -7.124 -0.280 -10.485
P -9.134 1.115 -5.809
P -4.267 -0.907 -6.091
P -7.835 -3.052 -4.040
O -3.655 0.296 -5.376
O -4.370 0.918 -2.686
O -11.778 -1.938 -7.291
O -1.808 -0.198 -3.259
O -10.462 -1.238 -9.357
O -9.418 -2.724 -7.707
O -6.370 -4.509 -10.241
O -7.023 -3.730 -7.932
O -7.052 -1.744 -10.929
O -7.943 -3.066 -5.585
O -8.480 0.382 -10.901
O -10.382 0.234 -5.905
O -4.677 -3.510 -8.619
O -6.472 -3.654 -3.621
O -7.034 -0.264 -8.939
O -7.935 -1.568 -3.641
O -8.017 0.421 -6.626
O -8.639 1.255 -4.330
O -5.616 -0.578 -6.776
O -4.521 -2.064 -5.121
O -13.198 -3.099 -11.323
O -3.240 -1.304 -7.204
O -10.592 -4.223 -11.807
O -11.399 -3.564 -9.124
```

---

[4]
The following is a SCAN calculation of a PBEsol-optimized structure of NbCrSnO2, from Alexandria via LeMat-Bulk.

Values from the calculation:
E_form (uncorrected) = -453 meV/atom
Size of the total moment = 0.00 μB per formula unit
Total energy = -102.2 eV per cell
N(E_F) = 0.67 states/eV per atom

extended XYZ file:
```
5
Lattice="-3.731 0.332 0.186 -0.246 -0.702 -3.676 -0.400 -5.044 0.990" Properties=species:S:1:pos:R:3 pbc="T T T"
Cr 0.000 0.000 0.000
Nb -0.200 -2.522 0.495
Sn -2.188 -2.707 -1.250
O -0.123 -0.351 -1.838
O -1.865 0.166 0.093
```

---

[5]
The following is a SCAN calculation of a PBEsol-optimized structure of Sr2NbCrO6, from Alexandria via LeMat-Bulk.

Values from the calculation:
E_form (uncorrected) = -3065 meV/atom
Size of the total moment = 3.00 μB per formula unit
Total energy = -164.1 eV per cell

extended XYZ file:
```
10
Lattice="-4.219 2.673 -2.454 -5.073 -2.287 -0.080 -4.084 2.181 3.087" Properties=species:S:1:pos:R:3 pbc="T T T"
Sr -10.032 1.926 0.415
Sr -3.344 0.642 0.138
Nb -6.688 1.284 0.277
O -5.870 -0.523 0.096
O -5.370 1.738 1.699
O -8.006 0.830 -1.146
O -7.937 0.581 1.659
O -7.505 3.091 0.457
O -5.438 1.987 -1.106
Cr 0.000 0.000 0.000
```

---

[6]
The following is a SCAN calculation of a PBEsol-optimized structure of NbCrPt3, from Alexandria via LeMat-Bulk.

Values from the calculation:
E_form = 831 meV per atom
Size of the total moment = 2.21 μB per formula unit
Total energy = -257.9 eV per cell
N(E_F) = 1.06 states/eV per atom

extended XYZ file:
```
5
Lattice="4.493 0.000 0.000 0.000 4.493 0.000 0.000 0.000 4.493" Properties=species:S:1:pos:R:3 pbc="T T T"
Cr 0.000 0.000 0.000
Nb 2.247 2.247 2.247
Pt 0.000 2.247 0.000
Pt 0.000 0.000 2.247
Pt 2.247 0.000 0.000
```

---

Question: What is the total energy in the sixth record?
Answer: -257.9 eV per cell

---

Question: The highest size of the total moment belongs to which entry?
Answer: Ti3NbCr2P6O24

---

Question: The highest total energy belongs to which entry?
Answer: NbCrSnO2

---

Question: total energy of number 3 (Ti3NbCr2P6O24)?
Answer: -423.7 eV per cell